YCuAs2Se: optimized geometry, PBE.

extended XYZ file:
```
5
Lattice="5.4366 0.0000 0.0000 0.0000 5.4366 0.0000 0.0000 0.0000 5.3794" Properties=species:S:1:pos:R:3 pbc="T T T"
Y 0.0000 0.0000 0.0000
Cu 2.7183 2.7183 2.6897
As 0.0000 2.7183 0.0000
As 2.7183 0.0000 0.0000
Se 0.0000 0.0000 2.6897
```

**Density of states at the Fermi level**: 5.46 states/eV/cell
**Space-group type**: P4/mmm
**Uncorrected formation energy**: 545.7 meV per atom
**Offset from the most stable computed form**: 0.737 eV/atom
**Density**: 4.0 g cm⁻³